A relaxed Be2SbOs crystal. Source: OQMD via LeMat-Bulk, functional PBE-GGA.

## Properties
For the total energy, the calculation gives -20.425 eV for the cell shown. Its spin magnetization is 0.00 Bohr magnetons per cell. Its space-group type is F-43m (216).

```
Be2SbOs
1.0
-0.3414 -3.9892 1.5229
1.8643 -1.0419 3.7132
-2.4034 -0.7731 3.4605
Be Os Sb
2 1 1
direct
0.0000 0.0000 0.0000 Be
0.7500 0.7500 0.7500 Be
0.2500 0.2500 0.2500 Os
0.5000 0.5000 0.5000 Sb
```

---

A relaxed LiTb2 crystal. Source: OQMD via LeMat-Bulk, functional PBE-GGA.

## Properties
For the total energy, the calculation gives -19.611 eV for the cell shown. Its spin magnetization is 0.01 Bohr magnetons per cell. The polymorph energy (0 for the lowest one) is 0.000 eV per atom. Its space-group type is Fd-3m (227).

```
LiTb2
1.0
0.0000 4.5893 4.5893
4.5893 0.0000 4.5893
4.5893 4.5893 0.0000
Li Tb
2 4
direct
0.0000 0.0000 0.0000 Li
0.2500 0.2500 0.2500 Li
0.6250 0.6250 0.1250 Tb
0.6250 0.1250 0.6250 Tb
0.1250 0.6250 0.6250 Tb
0.6250 0.6250 0.6250 Tb
```

---

A relaxed BSbW2 crystal. Source: OQMD via LeMat-Bulk, functional PBE-GGA.

## Properties
For the total energy, the calculation gives -72.317 eV for the cell shown. Its spin magnetization is 0.00 Bohr magnetons per cell. Its space-group type is P6_3/mmc (194).

```
BSbW2
1.0
-1.9468 2.2988 -1.3589
-1.3207 -2.7731 1.2195
-1.3314 5.7511 11.6363
B Sb W
2 2 4
direct
0.0000 0.0000 0.0000 B
0.0000 0.0000 0.5000 B
0.6667 0.3333 0.2500 Sb
0.3333 0.6667 0.7500 Sb
0.3333 0.6667 0.0854 W
0.3333 0.6667 0.4146 W
0.6667 0.3333 0.5854 W
0.6667 0.3333 0.9146 W
```

---

A relaxed NdBeNO crystal. Source: OQMD via LeMat-Bulk, functional PBE-GGA.

## Properties
For the total energy, the calculation gives -58.765 eV for the cell shown. Its spin magnetization is 0.00 Bohr magnetons per cell. The polymorph energy (0 for the lowest one) is 0.079 eV per atom. Its space-group type is Pmc2_1 (26).

```
NdBeNO
1.0
-1.6575 -2.8709 0.0000
0.0000 0.0000 5.3318
-4.7066 2.7173 0.0000
Be N Nd O
2 2 2 2
direct
0.0000 0.5006 0.3157 Be
0.0000 0.0006 0.6843 Be
0.0000 0.7565 0.4903 N
0.0000 0.2565 0.5097 N
0.5000 0.0065 0.2729 Nd
0.5000 0.5065 0.7271 Nd
0.5000 0.4904 0.1590 O
0.5000 0.9904 0.8410 O
```